No. 1
Below is an optimized crystal structure of BaCrAsSe2, with properties calculated at the PBE-GGA level.

Computed properties:
As for the formation energy from raw total energies: -0.592 eV/atom. Its space-group type is No. 123.

Structure (POSCAR):
```
BaCrAsSe2
1.0
5.111 0.000 0.000
0.000 5.111 0.000
0.000 0.000 4.634
Ba Cr As Se
1 1 1 2
Cartesian
0.000 0.000 0.000 Ba
2.556 2.556 2.317 Cr
2.556 2.556 0.000 As
0.000 2.556 2.317 Se
2.556 0.000 2.317 Se
```

No. 2
Below is an optimized crystal structure of BaCrAs2Se8, with properties calculated at the PBE-GGA level.

Computed properties:
As for the formation energy from raw total energies: -0.403 eV/atom. Its space-group type is No. 147.

Structure (POSCAR):
```
BaCrAs2Se8
1.0
6.301 0.000 0.000
-3.150 5.457 0.000
0.000 0.000 9.350
Ba Cr As Se
1 1 2 8
Cartesian
0.000 0.000 0.000 Ba
0.000 0.000 4.675 Cr
0.000 3.638 6.789 As
3.150 1.819 2.561 As
-2.028 3.911 3.080 Se
0.777 1.744 3.080 Se
1.899 0.199 6.270 Se
0.000 3.638 9.113 Se
3.150 1.819 0.237 Se
1.251 5.257 3.080 Se
2.373 3.712 6.270 Se
5.179 1.545 6.270 Se
```

No. 3
Below is an optimized crystal structure of Ba2SrCrAs, with properties calculated at the PBE-GGA level.

Computed properties:
The value obtained for the formation energy is -20 meV/atom. Its space-group type is No. 123.

Structure (POSCAR):
```
Ba2SrCrAs
1.0
6.379 0.000 0.000
0.000 6.379 0.000
0.000 0.000 5.974
Ba Sr Cr As
2 1 1 1
Cartesian
0.000 3.190 0.000 Ba
3.190 0.000 0.000 Ba
0.000 0.000 2.987 Sr
3.190 3.190 2.987 Cr
0.000 0.000 0.000 As
```

Calculated DFT total energy, -5.22, -4.46, -3.98 eV/atom (same order as the records).